# 1
PBE AlFeReIr, optimized geometry; density = 13882 kg/m³; total moment = 10.19 Bohr magnetons per cell
1.0
6.0432 0.0000 0.0000
0.0000 6.0432 0.0000
0.0000 0.0000 6.0432
Al Fe Re Ir
4 4 4 4
direct
0.0000 0.0000 0.0000
0.0000 0.5000 0.5000
0.5000 0.0000 0.5000
0.5000 0.5000 0.0000
0.2500 0.2500 0.2500
0.2500 0.7500 0.7500
0.7500 0.2500 0.7500
0.7500 0.7500 0.2500
0.0000 0.0000 0.5000
0.0000 0.5000 0.0000
0.5000 0.0000 0.0000
0.5000 0.5000 0.5000
0.2500 0.2500 0.7500
0.2500 0.7500 0.2500
0.7500 0.2500 0.2500
0.7500 0.7500 0.7500

***

# 2
PBE Tm2Al4FeIr, optimized geometry; density = 7938 kg/m³; total moment = 1.65 Bohr magnetons per cell
1.0
7.1410 0.0000 0.0000
0.0000 4.0887 0.0000
0.0000 0.0000 9.9422
Tm Al Fe Ir
4 8 2 2
direct
0.0000 0.0000 0.0000
0.0000 0.5000 0.5000
0.5000 0.0000 0.1316
0.5000 0.5000 0.6316
0.1887 0.0000 0.7162
0.1887 0.5000 0.2162
0.2971 0.0000 0.4098
0.2971 0.5000 0.9098
0.7029 0.0000 0.4098
0.7029 0.5000 0.9098
0.8113 0.0000 0.7162
0.8113 0.5000 0.2162
0.0000 0.0000 0.2795
0.0000 0.5000 0.7795
0.5000 0.0000 0.8482
0.5000 0.5000 0.3482

***

no.,DFT total energy (eV per atom)
1,-8.45
2,-5.74